Computed, not measured: an optimized crystal structure of KIn2Ag9 at the PBE level of DFT.

Summary:
E_tot, eV per atom: -2.61

Cell: 9.6983 9.6983 3.0215 Å, 90.00 90.00 120.00°
Space group P6/mmm (No. 191)
Symmetry-distinct sites (fractional):
K 0.0000 0.0000 0.0000
In 0.3333 0.6667 0.0000
Ag 0.0000 0.5000 0.0000
Ag 0.1811 0.3622 0.5000